Computed, not measured: a relaxed structure of K4Pr3CoO8 at the PBE with a Hubbard U level of DFT.

Results
* energy: -6.080 eV per atom
* magnetic moment: 7.924 μB/cell

Structure (CIF):
```
data_K4Pr3CoO8
_cell_length_a 12.5534
_cell_length_b 7.0389
_cell_length_c 7.4736
_cell_angle_alpha 90.00
_cell_angle_beta 122.46
_cell_angle_gamma 90.00
_space_group_name_H-M_alt 'C 1 2/m 1'
_space_group_IT_number 12
_space_group_name_Hall '-C 2y'
loop_
_atom_site_label
_atom_site_type_symbol
_atom_site_fract_x
_atom_site_fract_y
_atom_site_fract_z
K1 K 0.0000 0.0000 0.0000
K2 K 0.0000 0.5000 0.0000
K3 K 0.2500 0.2500 0.0000
Pr1 Pr 0.0000 0.0000 0.5000
Pr2 Pr 0.2500 0.2500 0.5000
Co1 Co 0.0000 0.5000 0.5000
O1 O 0.0188 0.2837 0.3298
O2 O 0.2266 0.0000 0.6954
O3 O 0.2437 0.0000 0.2786
```